Record 1
## LaTaNi10 (GGA-PBE)

Data for an optimized crystal structure of LaTaNi10.

Geometry as extended XYZ:
```
12
Lattice="3.980 0.000 0.000 0.000 4.796 0.000 0.000 0.000 8.385" Properties=species:S:1:pos:R:3 pbc="T T T"
La 0.000 0.000 0.000
Ta 0.000 2.398 4.193
Ni 0.000 0.000 2.907
Ni 0.000 0.000 5.479
Ni 0.000 2.398 1.588
Ni 0.000 2.398 6.797
Ni 1.990 0.000 4.193
Ni 1.990 1.243 2.233
Ni 1.990 1.243 6.152
Ni 1.990 2.398 0.000
Ni 1.990 3.553 2.233
Ni 1.990 3.553 6.152
```

Output
D(E_F): 14.7 states/eV per cell
ΔE_f: -0.160 eV per atom

Record 2
## Na3Pa2AuSe6 (GGA-PBE)

Data for an optimized crystal structure of Na3Pa2AuSe6.

Geometry as extended XYZ:
```
12
Lattice="9.366 -2.067 0.000 9.366 2.067 0.000 -2.753 0.000 7.935" Properties=species:S:1:pos:R:3 pbc="T T T"
Na 0.000 0.000 0.000
Na 4.469 0.000 5.424
Na 11.510 0.000 2.511
Pa 5.893 0.000 1.566
Pa 10.086 0.000 6.369
Au -1.377 0.000 3.967
Se 1.610 0.000 4.635
Se 3.120 0.000 0.461
Se 8.588 0.000 2.086
Se 7.391 0.000 5.849
Se 12.859 0.000 7.474
Se 14.369 0.000 3.300
```

Output
D(E_F): 9.4 states/eV per cell
raw formation energy: -1094 meV per atom

Record 3
## V2AgSbOs (GGA-PBE)

Data for an optimized crystal structure of V2AgSbOs.

Geometry as extended XYZ:
```
5
Lattice="4.641 0.000 0.000 0.000 4.641 0.000 0.000 0.000 4.878" Properties=species:S:1:pos:R:3 pbc="T T T"
V 0.000 2.320 0.000
V 2.320 0.000 0.000
Ag 0.000 0.000 0.000
Sb 0.000 0.000 2.439
Os 2.320 2.320 2.439
```

Output
D(E_F): 10.9 states/eV per cell
raw formation energy: 2190 meV per atom

Record 4
## LaMnTc2 (GGA-PBE)

Data for an optimized crystal structure of LaMnTc2.

Geometry as extended XYZ:
```
4
Lattice="3.004 0.000 0.000 0.000 4.176 0.000 -1.425 0.000 6.073" Properties=species:S:1:pos:R:3 pbc="T T T"
La 0.000 0.000 0.000
Mn 1.320 2.088 1.955
Tc -0.621 0.000 3.180
Tc 0.351 2.088 4.166
```

Output
E above lowest polymorph: 150 meV per atom
D(E_F): 4.2 states/eV per cell
ΔE_f: 0.365 eV per atom

Record 5
## PmPr2SnC (GGA-PBE)

Data for an optimized crystal structure of PmPr2SnC.

Geometry as extended XYZ:
```
5
Lattice="5.155 0.000 0.000 0.000 5.155 0.000 0.000 0.000 5.073" Properties=species:S:1:pos:R:3 pbc="T T T"
Pm 0.000 0.000 0.000
Pr 0.000 2.577 2.536
Pr 2.577 0.000 2.536
Sn 2.577 2.577 0.000
C 0.000 0.000 2.536
```

Output
D(E_F): 2.6 states/eV per cell
ΔE_f: -0.459 eV per atom

Record 6
## CaSb2TeOs (GGA-PBE)

Data for an optimized crystal structure of CaSb2TeOs.

Geometry as extended XYZ:
```
5
Lattice="5.672 0.000 0.000 0.000 5.672 0.000 0.000 0.000 5.524" Properties=species:S:1:pos:R:3 pbc="T T T"
Ca 0.000 0.000 0.000
Sb 0.000 2.836 0.000
Sb 2.836 0.000 0.000
Te 0.000 0.000 2.762
Os 2.836 2.836 2.762
```

Output
E above lowest polymorph: 1543 meV per atom
D(E_F): 7.5 states/eV per cell
raw formation energy: 1660 meV per atom

Record 7
## BaNiGePb (GGA-PBE)

Data for an optimized crystal structure of BaNiGePb.

Geometry as extended XYZ:
```
8
Lattice="4.375 0.000 0.000 0.000 4.375 0.000 0.000 0.000 11.831" Properties=species:S:1:pos:R:3 pbc="T T T"
Ba 1.094 1.094 2.706
Ba 3.282 3.282 9.125
Ni 1.094 3.282 0.000
Ni 3.282 1.094 0.000
Ge 1.094 1.094 10.846
Ge 3.282 3.282 0.985
Pb 1.094 3.282 5.916
Pb 3.282 1.094 5.916
```

Output
D(E_F): 4.5 states/eV per cell
ΔE_f: -0.364 eV per atom

Record 8
## MnBi2Mo (GGA-PBE)

Data for an optimized crystal structure of MnBi2Mo.

Geometry as extended XYZ:
```
8
Lattice="-3.800 3.800 3.132 3.800 -3.800 3.132 3.800 3.800 -3.132" Properties=species:S:1:pos:R:3 pbc="T T T"
Mn 0.000 0.000 0.000
Mn 0.000 3.800 1.566
Bi 5.700 1.679 -0.783
Bi 1.679 1.900 0.783
Bi -1.900 2.121 2.349
Bi 2.121 1.900 3.915
Mo 3.800 0.000 1.566
Mo 0.000 0.000 3.132
```

Output
E above lowest polymorph: 414 meV per atom
D(E_F): 16.8 states/eV per cell
ΔE_f: 1.251 eV per atom

Record 9
## IrRh2Pb (GGA-PBE)

Data for an optimized crystal structure of IrRh2Pb.

Geometry as extended XYZ:
```
4
Lattice="-2.049 2.049 3.894 2.049 -2.049 3.894 2.049 2.049 -3.894" Properties=species:S:1:pos:R:3 pbc="T T T"
Ir 0.000 0.000 0.000
Rh 2.049 0.000 1.947
Rh 0.000 2.049 1.947
Pb 0.000 0.000 3.894
```

Output
D(E_F): 5.3 states/eV per cell
ΔE_f: 0.191 eV per atom

Record 10
## TiFeAsSe2 (GGA-PBE)

Data for an optimized crystal structure of TiFeAsSe2.

Geometry as extended XYZ:
```
5
Lattice="4.820 0.000 0.000 0.000 4.820 0.000 0.000 0.000 4.862" Properties=species:S:1:pos:R:3 pbc="T T T"
Ti 0.000 0.000 0.000
Fe 2.410 2.410 2.431
As 0.000 0.000 2.431
Se 0.000 2.410 0.000
Se 2.410 0.000 0.000
```

Output
E above lowest polymorph: 20 meV per atom
D(E_F): 6.2 states/eV per cell
raw formation energy: 325 meV per atom

Record 11
## NbTc2H (GGA-PBE)

Data for an optimized crystal structure of NbTc2H.

Geometry as extended XYZ:
```
4
Lattice="0.000 3.026 3.026 3.026 0.000 3.026 3.026 3.026 0.000" Properties=species:S:1:pos:R:3 pbc="T T T"
Nb 0.000 0.000 0.000
Tc 1.513 1.513 1.513
Tc 4.539 4.539 4.539
H 3.026 3.026 3.026
```

Output
E above lowest polymorph: 615 meV per atom
D(E_F): 3.3 states/eV per cell

Record 12
## Os4Cl3 (GGA-PBE)

Data for an optimized crystal structure of Os4Cl3.

Geometry as extended XYZ:
```
7
Lattice="4.557 0.000 0.000 -2.278 3.946 0.000 0.000 0.000 8.608" Properties=species:S:1:pos:R:3 pbc="T T T"
Os 0.000 0.000 1.165
Os 0.000 0.000 7.443
Os 0.000 2.631 0.000
Os 2.278 1.315 0.000
Cl -1.139 1.973 4.304
Cl 2.278 0.000 4.304
Cl 1.139 1.973 4.304
```

Output
D(E_F): 6.0 states/eV per cell
raw formation energy: 1661 meV per atom